AcPr2ThS4 after structural relaxation. Source: Alexandria, functional PBE.

```
8
Lattice="-2.998 0.355 2.807 -0.505 -7.152 0.365 4.787 2.293 4.824" Properties=species:S:1:pos:R:3 pbc="T T T"
Th -1.752 -3.398 1.586
Pr 2.141 -2.430 2.595
Pr 0.894 1.324 3.815
Ac 0.000 0.000 0.000
S 0.822 -4.731 1.477
S 1.690 -3.404 5.263
S -0.406 -1.100 2.733
S 3.460 -0.129 3.713
```

- V: 25.04 A^3/atom
- Magnetic moment: 0.00 μB/cell
- Formation energy from raw total energies: -1.95 eV per atom